The following is a DFT calculation (PBE) of RbCuIrI6 after structural relaxation.

The structure in POSCAR format:
```
RbCuIrI6
1.0
7.177 0.001 0.000
3.589 6.215 0.000
0.000 -0.001 8.357
Rb Cu Ir I
1 1 1 6
Direct
0.000 0.000 0.000
0.333 0.333 0.500
0.667 0.667 0.500
0.988 0.373 0.316
0.373 0.988 0.684
0.639 0.373 0.684
0.988 0.639 0.684
0.373 0.639 0.316
0.639 0.988 0.316
```

Computed properties:
* E_form (uncorrected): -3.10 eV/f.u.
* space group: P312 (149)
* N(E_F): 1.181 states/eV per atom

The following is a DFT calculation (PBE) of CuSbIrI2 after structural relaxation.

The structure in POSCAR format:
```
CuSbIrI2
1.0
5.646 0.000 0.000
0.000 5.646 0.000
0.000 0.000 4.946
I Sb Ir Cu
2 1 1 1
Direct
0.000 0.500 0.000
0.500 0.000 0.000
0.000 0.000 0.500
0.000 0.000 0.000
0.500 0.500 0.500
```

Computed properties:
* E_form (uncorrected): 3.67 eV/f.u.
* offset from the most stable computed form: 0 meV per atom
* space group: P4/mmm (123)
* N(E_F): 0.580 states/eV per atom